(1)
Material: TbCu7O12
Method: DFT, GGA-PBE
State: relaxed

Structure (POSCAR):
```
TbCu7O12
1.0
-3.6600 3.6600 3.6600
3.6600 -3.6600 3.6600
3.6600 3.6600 -3.6600
Tb Cu O
1 7 12
direct
0.0000 0.0000 0.0000
0.0000 0.0000 0.5000
0.0000 0.5000 0.0000
0.0000 0.5000 0.5000
0.5000 0.0000 0.0000
0.5000 0.0000 0.5000
0.5000 0.5000 0.0000
0.5000 0.5000 0.5000
0.1369 0.8309 0.3060
0.1691 0.3060 0.4751
0.1691 0.6940 0.8631
0.3060 0.1369 0.8309
0.3060 0.4751 0.1691
0.4751 0.1691 0.3060
0.5249 0.8309 0.6940
0.6940 0.5249 0.8309
0.6940 0.8631 0.1691
0.8309 0.3060 0.1369
0.8309 0.6940 0.5249
0.8631 0.1691 0.6940
```

Values from the calculation:
Calculated total energy in eV per atom: -5.48
Uncorrected formation energy in meV per atom: -839
SG: Im-3 (204)
Crystal system: cubic


(2)
Material: LiPmCdO3
Method: DFT, GGA-PBE
State: relaxed

Structure (POSCAR):
```
LiPmCdO3
1.0
6.9388 0.0000 0.0000
0.0000 3.3626 0.0000
-1.5563 0.0000 6.8681
Li Pm Cd O
2 2 2 6
direct
0.0984 0.2500 0.0955
0.9016 0.7500 0.9045
0.2848 0.7500 0.8236
0.7152 0.2500 0.1764
0.3162 0.7500 0.3532
0.6838 0.2500 0.6468
0.0044 0.2500 0.8153
0.3440 0.2500 0.5967
0.3660 0.2500 0.0833
0.6340 0.7500 0.9167
0.6560 0.7500 0.4033
0.9956 0.7500 0.1847
```

Values from the calculation:
Calculated total energy in eV per atom: -5.87
Uncorrected formation energy in meV per atom: -2131
SG: P2_1/m (11)
Crystal system: monoclinic


(3)
Material: TaInTe2
Method: DFT, GGA-PBE
State: relaxed

Structure (POSCAR):
```
TaInTe2
1.0
7.2835 0.0000 0.0000
0.0000 7.2835 0.0000
0.0000 0.0000 7.2835
Ta In Te
4 4 8
direct
0.0000 0.0000 0.0000
0.0000 0.5000 0.5000
0.5000 0.0000 0.5000
0.5000 0.5000 0.0000
0.2500 0.2500 0.7500
0.2500 0.7500 0.2500
0.7500 0.2500 0.2500
0.7500 0.7500 0.7500
0.0000 0.0000 0.5000
0.0000 0.5000 0.0000
0.2500 0.2500 0.2500
0.2500 0.7500 0.7500
0.5000 0.0000 0.0000
0.5000 0.5000 0.5000
0.7500 0.2500 0.7500
0.7500 0.7500 0.2500
```

Values from the calculation:
Calculated total energy in eV per atom: -4.51
Uncorrected formation energy in meV per atom: 707
SG: F-43m (216)
Crystal system: cubic


(4)
Material: SrLaPt2
Method: DFT, GGA-PBE
State: relaxed

Structure (POSCAR):
```
SrLaPt2
1.0
5.1819 0.0000 0.0000
0.0000 5.1819 0.0000
0.0000 0.0000 3.6452
Sr La Pt
1 1 2
direct
0.0000 0.0000 0.0000
0.5000 0.5000 0.0000
0.0000 0.5000 0.5000
0.5000 0.0000 0.5000
```

Values from the calculation:
Calculated total energy in eV per atom: -5.62
SG: P4/mmm (123)
Crystal system: tetragonal


> Number 4 is which compound?

SrLaPt2


Copy entry 1 word for word.
Material: TbCu7O12
Method: DFT, GGA-PBE
State: relaxed

Structure (POSCAR):
```
TbCu7O12
1.0
-3.6600 3.6600 3.6600
3.6600 -3.6600 3.6600
3.6600 3.6600 -3.6600
Tb Cu O
1 7 12
direct
0.0000 0.0000 0.0000
0.0000 0.0000 0.5000
0.0000 0.5000 0.0000
0.0000 0.5000 0.5000
0.5000 0.0000 0.0000
0.5000 0.0000 0.5000
0.5000 0.5000 0.0000
0.5000 0.5000 0.5000
0.1369 0.8309 0.3060
0.1691 0.3060 0.4751
0.1691 0.6940 0.8631
0.3060 0.1369 0.8309
0.3060 0.4751 0.1691
0.4751 0.1691 0.3060
0.5249 0.8309 0.6940
0.6940 0.5249 0.8309
0.6940 0.8631 0.1691
0.8309 0.3060 0.1369
0.8309 0.6940 0.5249
0.8631 0.1691 0.6940
```

Values from the calculation:
Calculated total energy in eV per atom: -5.48
Uncorrected formation energy in meV per atom: -839
SG: Im-3 (204)
Crystal system: cubic